1.
The following is a DFT calculation (PBE-GGA) of a geometry-optimized Bi3Se2S2 structure.

Cell lengths 4.1689, 7.3574, 8.2941 Å; angles 116.99, 104.56, 90.00 degrees
Fractional positions:
S 0.8620 0.6695 0.7241
S 0.1380 0.3305 0.2759
Se 0.3727 0.2225 0.7455
Se 0.6273 0.7775 0.2545
Bi 0.0000 0.5000 0.0000
Bi 0.7344 0.2537 0.4689
Bi 0.2656 0.7463 0.5311

Values from the calculation:
Energy relative to the lowest polymorph listed for this composition (eV per formula unit): 0.00
DFT total energy (eV per cell): -28.80
Uncorrected formation energy (meV per atom): -275.9
ρ (kg/m3): 6482

***

2.
The following is a DFT calculation (PBE-GGA) of a geometry-optimized NdGdYHg structure.

Cell lengths 5.4716, 5.4716, 5.4716 Å; angles 60.00, 60.00, 60.00 degrees
Each line ends with the local moment (μB).
Fractional positions:
Hg 0.2500 0.2500 0.2500  -0.02
Y 0.0000 0.0000 0.0000  0.17
Gd 0.7500 0.7500 0.7500  7.41
Nd 0.5000 0.5000 0.5000  0.12

Values from the calculation:
DFT total energy (eV per cell): -25.93
Energy relative to the elements (meV/atom): -80
ρ (kg/m3): 8472

***

3.
The following is a DFT calculation (PBE-GGA) of a geometry-optimized Ce6SeCl8 structure.

Cell lengths 7.0257, 7.0257, 10.6849 Å; angles 70.81, 70.81, 60.00 degrees
Each line ends with the local moment (μB).
Fractional positions:
Cl 0.6667 0.6667 0.0000  -0.02
Cl 0.1102 0.7842 0.6696  -0.01
Cl 0.7842 0.4359 0.6696  -0.01
Cl 0.2158 0.5641 0.3304  -0.01
Cl 0.3333 0.3333 0.0000  -0.02
Cl 0.8898 0.2158 0.3304  -0.01
Cl 0.4359 0.1102 0.6696  -0.01
Cl 0.5641 0.8898 0.3304  -0.01
Ce 0.0537 0.3954 0.8389  0.84
Ce 0.2879 0.9463 0.1611  0.84
Ce 0.9463 0.6046 0.1611  0.84
Ce 0.7121 0.0537 0.8389  0.84
Ce 0.3954 0.7121 0.8389  0.84
Ce 0.6046 0.2879 0.1611  0.84
Se 0.0000 0.0000 0.0000  -0.02

Values from the calculation:
DFT total energy (eV per cell): -80.94
Uncorrected formation energy (meV per atom): -1805.3
ρ (kg/m3): 4729

***

4.
The following is a DFT calculation (PBE-GGA) of a geometry-optimized CaDyC structure.

Cell lengths 3.7124, 6.7579, 8.5283 Å; angles 132.43, 77.56, 105.76 degrees
Fractional positions:
Ca 0.1477 0.4131 0.1203
Ca 0.8523 0.5869 0.8797
C 0.2427 0.2120 0.7264
C 0.7573 0.7880 0.2736
Dy 0.6507 0.9143 0.6151
Dy 0.3493 0.0857 0.3849

Values from the calculation:
DFT total energy (eV per cell): -31.96
Energy relative to the elements (meV/atom): -51
ρ (kg/m3): 4693

***

5.
The following is a DFT calculation (PBE-GGA) of a geometry-optimized Ba4PdAu2 structure.

Cell lengths 6.2156, 6.2156, 9.0808 Å; angles 69.99, 69.99, 90.00 degrees
Fractional positions:
Au 0.5948 0.5948 0.8104
Au 0.4052 0.4052 0.1896
Ba 0.5000 0.0000 0.0000
Ba 0.0000 0.5000 0.0000
Ba 0.2015 0.2015 0.5970
Ba 0.7985 0.7985 0.4030
Pd 0.0000 0.0000 0.0000

Values from the calculation:
Energy relative to the lowest polymorph listed for this composition (eV per formula unit): 0.74
DFT total energy (eV per cell): -22.58
Energy relative to the elements (meV/atom): -449
ρ (kg/m3): 5678

***

6.
The following is a DFT calculation (PBE-GGA) of a geometry-optimized Sr4Au2S structure.

Cell lengths 5.7792, 5.7792, 8.6646 Å; angles 109.48, 109.48, 90.00 degrees
Fractional positions:
S 0.0000 0.0000 0.0000
Au 0.3992 0.3992 0.7984
Au 0.6008 0.6008 0.2016
Sr 0.8026 0.8026 0.6052
Sr 0.0000 0.5000 0.0000
Sr 0.5000 0.0000 0.0000
Sr 0.1974 0.1974 0.3948

Values from the calculation:
DFT total energy (eV per cell): -23.59
Uncorrected formation energy (meV per atom): -883.5
ρ (kg/m3): 5053

***

7.
The following is a DFT calculation (PBE-GGA) of a geometry-optimized Nd4TmSn4 structure.

Cell lengths 6.4772, 9.4718, 9.4718 Å; angles 90.00, 90.00, 90.00 degrees
Fractional positions:
Tm 0.0000 0.0000 0.0000
Tm 0.5000 0.5000 0.5000
Nd 0.6370 0.0795 0.2845
Nd 0.8630 0.4205 0.2155
Nd 0.1370 0.2155 0.5795
Nd 0.1370 0.7845 0.4205
Nd 0.3630 0.2845 0.9205
Nd 0.6370 0.9205 0.7155
Nd 0.3630 0.7155 0.0795
Nd 0.8630 0.5795 0.7845
Sn 0.8556 0.2701 0.8952
Sn 0.8556 0.7299 0.1048
Sn 0.6444 0.7701 0.3952
Sn 0.3556 0.6048 0.7701
Sn 0.6444 0.2299 0.6048
Sn 0.3556 0.3952 0.2299
Sn 0.1444 0.8952 0.7299
Sn 0.1444 0.1048 0.2701

Values from the calculation:
DFT total energy (eV per cell): -87.95
Energy relative to the elements (meV/atom): -491
ρ (kg/m3): 6977

***

8.
The following is a DFT calculation (PBE-GGA) of a geometry-optimized NpSi2NiRh structure.

Cell lengths 3.9317, 3.9317, 5.7974 Å; angles 109.82, 109.82, 90.00 degrees
Each line ends with the local moment (μB).
Fractional positions:
Si 0.6177 0.6177 0.2355  -0.01
Si 0.3823 0.3823 0.7645  -0.01
Np 0.0000 0.0000 0.0000  3.59
Ni 0.2500 0.7500 0.5000  0.17
Rh 0.7500 0.2500 0.5000  0.06

Values from the calculation:
DFT total energy (eV per cell): -40.07
Uncorrected formation energy (meV per atom): -629.1
ρ (kg/m3): 9603

***

9.
The following is a DFT calculation (PBE-GGA) of a geometry-optimized Sc3As structure.

Cell lengths 4.3332, 4.3332, 4.3332 Å; angles 90.00, 90.00, 90.00 degrees
Each line ends with the local moment (μB).
Fractional positions:
Sc 0.5000 0.5000 0.0000  0.43
Sc 0.5000 0.0000 0.5000  0.43
Sc 0.0000 0.5000 0.5000  0.43
As 0.0000 0.0000 0.0000  -0.02

Values from the calculation:
DFT total energy (eV per cell): -25.54
Energy relative to the elements (meV/atom): -475
ρ (kg/m3): 4281

***

10.
The following is a DFT calculation (PBE-GGA) of a geometry-optimized Tl2GePb2 structure.

Cell lengths 7.7031, 7.7031, 5.3619 Å; angles 90.00, 90.00, 90.00 degrees
Fractional positions:
Tl 0.1660 0.6660 0.5000
Tl 0.3340 0.1660 0.5000
Tl 0.6660 0.8340 0.5000
Tl 0.8340 0.3340 0.5000
Pb 0.3532 0.8532 0.0000
Pb 0.8532 0.6468 0.0000
Pb 0.1468 0.3532 0.0000
Pb 0.6468 0.1468 0.0000
Ge 0.5000 0.5000 0.0000
Ge 0.0000 0.0000 0.0000

Values from the calculation:
Energy relative to the lowest polymorph listed for this composition (eV per formula unit): 0.00
DFT total energy (eV per cell): -31.90
Energy relative to the elements (meV/atom): 163
ρ (kg/m3): 9351

***

11.
The following is a DFT calculation (PBE-GGA) of a geometry-optimized KTe2C structure.

Cell lengths 7.1376, 7.1376, 7.1376 Å; angles 50.10, 50.10, 50.10 degrees
Each line ends with the local moment (μB).
Fractional positions:
K 0.5000 0.5000 0.5000  0.01
Te 0.1053 0.1053 0.1053  0.02
Te 0.8947 0.8947 0.8947  0.02
C 0.0000 0.0000 0.0000  0.41

Values from the calculation:
DFT total energy (eV per cell): -14.44
Uncorrected formation energy (meV per atom): 540.1
ρ (kg/m3): 2582

***

12.
The following is a DFT calculation (PBE-GGA) of a geometry-optimized LuScHgRh structure.

Cell lengths 4.8654, 4.8654, 4.8654 Å; angles 60.00, 60.00, 60.00 degrees
Fractional positions:
Rh 0.2500 0.2500 0.2500
Hg 0.7500 0.7500 0.7500
Lu 0.5000 0.5000 0.5000
Sc 0.0000 0.0000 0.0000

Values from the calculation:
DFT total energy (eV per cell): -21.03
Energy relative to the elements (meV/atom): -631
ρ (kg/m3): 10673

***

13.
The following is a DFT calculation (PBE-GGA) of a geometry-optimized ZrIr2Se structure.

Cell lengths 3.0924, 4.7039, 4.5849 Å; angles 90.00, 90.00, 90.00 degrees
Fractional positions:
Ir 0.0000 0.0000 0.0000
Ir 0.5000 0.5000 0.0000
Se 0.5000 0.0000 0.5000
Zr 0.0000 0.5000 0.5000

Values from the calculation:
DFT total energy (eV per cell): -30.83
Uncorrected formation energy (meV per atom): -268.9
ρ (kg/m3): 13809

***

14.
The following is a DFT calculation (PBE-GGA) of a geometry-optimized Pm5ZnSn2 structure.

Cell lengths 7.0739, 7.0738, 6.7415 Å; angles 121.64, 121.64, 90.02 degrees
Fractional positions:
Zn 0.2220 0.2220 0.4441
Pm 0.2222 0.7220 0.9442
Pm 0.2222 0.2222 0.9442
Pm 0.7220 0.2222 0.9442
Pm 0.7220 0.7220 0.9442
Pm 0.7224 0.7224 0.4447
Sn 0.7221 0.2221 0.4442
Sn 0.2221 0.7221 0.4442

Values from the calculation:
DFT total energy (eV per cell): -36.47
Energy relative to the elements (meV/atom): -430
ρ (kg/m3): 7547

***

15.
The following is a DFT calculation (PBE-GGA) of a geometry-optimized ZnNi2Br structure.

Cell lengths 5.0021, 5.0021, 3.1711 Å; angles 70.83, 70.83, 109.83 degrees
Fractional positions:
Ni 0.5000 0.5000 0.0000
Ni 0.0000 0.0000 0.0000
Zn 0.5000 0.0000 0.5000
Br 0.0000 0.5000 0.5000

Values from the calculation:
Energy relative to the lowest polymorph listed for this composition (eV per formula unit): 1.28
DFT total energy (eV per cell): -12.81
Uncorrected formation energy (meV per atom): 424.8
ρ (kg/m3): 7120

***

16.
The following is a DFT calculation (PBE-GGA) of a geometry-optimized Pr2Nd4Y2Mg structure.

Cell lengths 5.6053, 10.1232, 6.7961 Å; angles 105.68, 114.39, 106.10 degrees
Fractional positions:
Y 0.6481 0.9993 0.2967
Y 0.3519 0.0007 0.7033
Pr 0.7882 0.3729 0.2030
Pr 0.2118 0.6271 0.7970
Nd 0.0782 0.2849 0.8717
Nd 0.5764 0.6826 0.4695
Nd 0.4236 0.3174 0.5305
Nd 0.9218 0.7151 0.1283
Mg 0.0000 0.0000 0.0000

Values from the calculation:
DFT total energy (eV per cell): -42.77
Energy relative to the elements (meV/atom): 42
ρ (kg/m3): 5812

***

17.
The following is a DFT calculation (PBE-GGA) of a geometry-optimized MnV2Pb structure.

Cell lengths 7.0657, 7.0657, 5.6581 Å; angles 51.36, 51.36, 90.00 degrees
Fractional positions:
V 0.5543 0.1250 0.2500
V 0.1957 0.6250 0.2500
V 0.8750 0.8043 0.7500
V 0.3750 0.4457 0.7500
Mn 0.2500 0.7500 0.5000
Mn 0.5000 0.5000 0.0000
Pb 0.7500 0.2500 0.5000
Pb 0.0000 0.0000 0.0000

Values from the calculation:
DFT total energy (eV per cell): -57.40
Energy relative to the elements (meV/atom): 603
ρ (kg/m3): 9119

***

18.
The following is a DFT calculation (PBE-GGA) of a geometry-optimized DyPa2NbN4 structure.

Cell lengths 3.4492, 5.8980, 5.8184 Å; angles 109.92, 90.00, 90.00 degrees
Fractional positions:
N 0.5000 0.2388 0.2409
N 0.5000 0.7612 0.7591
N 0.0000 0.7576 0.2491
N 0.0000 0.2424 0.7509
Pa 0.0000 0.5000 0.5000
Pa 0.5000 0.0000 0.5000
Dy 0.5000 0.5000 0.0000
Nb 0.0000 0.0000 0.0000

Values from the calculation:
DFT total energy (eV per cell): -78.73
Uncorrected formation energy (meV per atom): -1471.2
ρ (kg/m3): 11542

***

19.
The following is a DFT calculation (PBE-GGA) of a geometry-optimized La2Ho7Sc2 structure.

Cell lengths 5.9879, 8.5907, 8.5830 Å; angles 83.58, 62.75, 62.82 degrees
Fractional positions:
La 0.8300 0.7838 0.7836
La 0.1700 0.2162 0.2164
Sc 0.5011 0.2329 0.7677
Sc 0.4989 0.7671 0.2323
Ho 0.1660 0.5894 0.0628
Ho 0.8340 0.4106 0.9372
Ho 0.6267 0.5850 0.5843
Ho 0.8325 0.9388 0.4114
Ho 0.0000 0.0000 0.0000
Ho 0.3733 0.4150 0.4157
Ho 0.1675 0.0612 0.5886

Values from the calculation:
Energy relative to the lowest polymorph listed for this composition (eV per formula unit): 0.00
DFT total energy (eV per cell): -52.70
Energy relative to the elements (meV/atom): 170
ρ (kg/m3): 7294

***

20.
The following is a DFT calculation (PBE-GGA) of a geometry-optimized Nb2FeRu2 structure.

Cell lengths 7.3091, 7.3091, 3.0725 Å; angles 90.00, 90.00, 90.00 degrees
Each line ends with the local moment (μB).
Fractional positions:
Nb 0.1647 0.6647 0.5000  -0.17
Nb 0.8353 0.3353 0.5000  -0.18
Nb 0.6647 0.8353 0.5000  -0.17
Nb 0.3353 0.1647 0.5000  -0.17
Fe 0.0000 0.0000 0.0000  2.81
Fe 0.5000 0.5000 0.0000  2.81
Ru 0.6382 0.1382 0.0000  0.06
Ru 0.8618 0.6382 0.0000  0.07
Ru 0.1382 0.3618 0.0000  0.07
Ru 0.3618 0.8618 0.0000  0.06

Values from the calculation:
Energy relative to the lowest polymorph listed for this composition (eV per formula unit): 0.00
DFT total energy (eV per cell): -93.23
Energy relative to the elements (meV/atom): 108
ρ (kg/m3): 8979